Material: GaSn6Pb2
Method: DFT, PBE
State: optimized geometry

Calculated values
Fermi-level density of states ... 5.3 states/eV/cell
Calculated volume ... 251.4 Å³/cell
SG ... Cmmm (65)
ΔE_f ... 56 kJ/mol of formula units
Total energy ... -3.76 eV/atom

Structure (POSCAR):
```
GaSn6Pb2
1.0
3.2562 -0.0002 0.0008
-0.0004 8.1847 4.7104
-0.0020 0.0198 9.4433
Ga Sn Pb
1 6 2
Direct
0.0000 0.0000 0.0000
0.4999 0.6696 0.0000
0.5001 0.0000 0.3304
0.5001 0.3304 0.0000
0.5000 0.6699 0.3301
0.4999 0.0000 0.6696
0.5000 0.3301 0.6699
0.0000 0.3335 0.3335
0.0000 0.6665 0.6665
```